Material: Na2V3Br8
Method: DFT, GGA-PBE
State: relaxed

Cell and atoms, written as POSCAR:
```
Na2V3Br8
1.0
-6.718 0.425 0.776
-0.991 -0.290 8.110
-0.958 6.721 4.556
Na Br V
2 8 3
Cartesian
-4.850 2.002 3.904
-3.816 4.853 9.538
-5.331 2.297 9.111
-7.729 6.152 12.062
-5.314 6.032 7.218
-3.353 0.824 6.224
-1.681 3.946 7.767
-3.335 4.559 4.331
-6.986 2.910 5.675
-0.937 0.704 1.380
-0.982 1.478 7.213
-3.359 0.213 0.388
-0.966 4.952 5.452
```

Calculated values
Formation energy from raw total energies   -1.008 eV/atom
E_tot   -4.344 eV/atom